Version w
Material: SnBiSCl2
Method: DFT, PBE
State: optimized geometry

Geometry as POSCAR:
```
SnBiSCl2
1.0
5.410 0.000 0.000
0.000 5.410 0.000
0.000 0.000 5.441
Sn Bi S Cl
1 1 1 2
Cartesian
0.000 0.000 0.000
2.705 2.705 2.720
2.705 2.705 0.000
0.000 2.705 2.720
2.705 0.000 2.720
```

Values from the calculation:
As for the space group: P4/mmm (123). The magnetization comes out at 0.169 μB per atom.


Version x
Material: SnBiSCl2
Method: DFT, PBE
State: optimized geometry

Geometry as POSCAR:
```
SnBiSCl2
1.0
5.238 0.000 0.000
0.000 5.238 0.000
0.000 0.000 5.363
Sn Bi S Cl
1 1 1 2
Cartesian
0.000 0.000 0.000
2.619 2.619 2.681
0.000 0.000 2.681
0.000 2.619 0.000
2.619 0.000 0.000
```

Values from the calculation:
As for the space group: P4/mmm (123). The magnetization comes out at 0.317 μB per atom.


Quick one: least stable of them? version x


Version w
Material: SrBiS2Cl
Method: DFT, PBE
State: optimized geometry

Geometry as POSCAR:
```
SrBiS2Cl
1.0
5.579 0.000 0.000
0.000 5.579 0.000
0.000 0.000 5.228
Sr Bi S Cl
1 1 2 1
Cartesian
0.000 0.000 0.000
2.790 2.790 2.614
0.000 2.790 0.000
2.790 0.000 0.000
0.000 0.000 2.614
```

Values from the calculation:
As for the space group: P4/mmm (123). The magnetization comes out at 0.000 μB per atom.


Version x
Material: SrBiS2Cl
Method: DFT, PBE
State: optimized geometry

Geometry as POSCAR:
```
SrBiS2Cl
1.0
7.555 0.000 0.000
0.000 5.336 0.000
-3.314 0.000 8.304
Sr Bi S Cl
2 2 4 2
Cartesian
0.311 1.334 3.699
3.930 4.002 4.605
1.608 4.002 0.315
2.634 1.334 7.989
0.865 1.334 0.527
1.511 4.002 2.853
2.730 1.334 5.451
3.376 4.002 7.777
-0.856 4.002 5.395
5.098 1.334 2.909
```

Values from the calculation:
As for the space group: P2_1/m (11). The magnetization comes out at 0.000 μB per atom.


Quick one: least stable of them? version w


Version w
Material: TaBiSCl2
Method: DFT, PBE
State: optimized geometry

Geometry as POSCAR:
```
TaBiSCl2
1.0
5.324 0.000 0.000
0.000 5.324 0.000
0.000 0.000 5.519
Ta Bi S Cl
1 1 1 2
Cartesian
0.000 0.000 0.000
2.662 2.662 2.760
2.662 2.662 0.000
0.000 2.662 2.760
2.662 0.000 2.760
```

Values from the calculation:
As for the space group: P4/mmm (123). The magnetization comes out at 0.784 μB per atom.


Version x
Material: TaBiSCl2
Method: DFT, PBE
State: optimized geometry

Geometry as POSCAR:
```
TaBiSCl2
1.0
4.877 0.000 0.000
0.000 4.877 0.000
0.000 0.000 4.869
Ta Bi S Cl
1 1 1 2
Cartesian
0.000 0.000 0.000
2.438 2.438 2.435
0.000 0.000 2.435
0.000 2.438 0.000
2.438 0.000 0.000
```

Values from the calculation:
As for the space group: P4/mmm (123). The magnetization comes out at 0.000 μB per atom.


Quick one: least stable of them? version w